# RuRh2Pb

A relaxed structure of RuRh2Pb (PBE, the Alexandria database).

Unit cell a=3.989 b=3.996 c=4.076 alpha=90.00 beta=90.00 gamma=90.00
Positions (direct):
Pb: 0.000 0.500 0.500
Rh: 0.000 0.000 0.000
Rh: 0.500 0.500 0.000
Ru: 0.500 0.000 0.500

Properties
- M_tot: 0.001 μB/f.u.
- N(E_F): 6.549 states/eV per cell
- DFT formation energy: 1.12 eV/f.u.
- SG: P4/mmm, No. 123
- Uncorrected energy: -6.642 eV/atom

---

# Ho4TmN4

A relaxed structure of Ho4TmN4 (PBE, the Alexandria database).

Unit cell a=4.886 b=5.989 c=5.989 alpha=80.44 beta=65.93 gamma=65.93
Positions (direct):
Ho: 0.609 0.580 0.202
Ho: 0.391 0.420 0.798
Ho: 0.189 0.202 0.420
Ho: 0.811 0.798 0.580
Tm: 0.000 0.000 0.000
N: 0.902 0.394 0.802
N: 0.098 0.606 0.198
N: 0.296 0.802 0.606
N: 0.704 0.198 0.394

Properties
- M_tot: 0.000 μB/f.u.
- ΔE_f (raw): -35.74 kcal/mol of atoms
- N(E_F): 2.431 states/eV per cell
- SG: I4/m, No. 87
- Uncorrected energy: -7.782 eV/atom

---

# K2SO6

A relaxed structure of K2SO6 (PBE, the Alexandria database).

Unit cell a=5.365 b=5.365 c=10.935 alpha=90.00 beta=90.00 gamma=90.00
Site moments in Bohr magnetons follow the coordinates.
Positions (direct):
K: 0.000 0.000 0.340  0.00
K: 0.500 0.500 0.840  0.00
K: 0.500 0.500 0.160  0.00
K: 0.000 0.000 0.660  0.00
S: 0.000 0.000 0.000  -0.02
S: 0.500 0.500 0.500  -0.02
O: 0.350 0.350 0.395  0.33
O: 0.650 0.650 0.395  0.33
O: 0.150 0.850 0.895  0.33
O: 0.850 0.150 0.895  0.33
O: 0.150 0.850 0.105  0.33
O: 0.850 0.150 0.105  0.33
O: 0.350 0.350 0.605  0.33
O: 0.650 0.650 0.605  0.33
O: 0.211 0.211 0.000  0.22
O: 0.789 0.789 0.000  0.22
O: 0.289 0.711 0.500  0.22
O: 0.711 0.289 0.500  0.22

Properties
- M_tot: 2.000 μB/f.u.
- ΔE_f (raw): -17.57 kcal/mol of atoms
- N(E_F): 19.090 states/eV per cell
- SG: P4_2/mnm, No. 136
- Uncorrected energy: -4.770 eV/atom

---

Question: The highest uncorrected energy belongs to which entry?
Answer: K2SO6

---

Question: Which value of M_tot does entry 2 give?
Answer: 0.000 μB/f.u.

---

Question: The lowest uncorrected energy belongs to which entry?
Answer: Ho4TmN4

---

Question: Look up the M_tot of the third one.
Answer: 2.000 μB/f.u.